Crystalline RbCdGa2Au4 at its relaxed geometry, computed with PBE.

Cell: 4.495 4.495 11.259 Å, 78.48 78.48 60.00°
Element x y z (fractional)
Rb 0.000 0.000 0.000
Cd 0.500 0.500 0.500
Ga 0.755 0.755 0.736
Ga 0.245 0.245 0.264
Au 0.412 0.412 0.764
Au 0.876 0.876 0.372
Au 0.124 0.124 0.628
Au 0.588 0.588 0.236

Output
- Calculated total energy: -2.8142 eV/atom
- Size of the total moment: 0.00 μB/f.u.
- Formation enthalpy at 0 K: -0.18 eV/atom